## SrGaCu2Au4 (GGA-PBE)

Data for a relaxed structure of SrGaCu2Au4.

Unit cell a=4.4820 b=4.4820 c=27.2875 alpha=90.00 beta=90.00 gamma=120.00
Space group R-3m (No. 166, hexagonal axes)
Inequivalent atoms, fractional coordinates:
Sr 0.0000 0.0000 0.0000 (multiplicity 3)
Ga 0.0000 0.0000 0.5000 (multiplicity 3)
Cu 0.0000 0.0000 0.2381 (multiplicity 6)
Au 0.0000 0.0000 0.1296 (multiplicity 6)
Au 0.0000 0.0000 0.4046 (multiplicity 6)

calculated total energy = -0.12844 hartree per atom
formation energy = -0.244 eV per atom
total magnetic moment = 0.00 μB per formula unit

## SrGa2CuAu4 (GGA-PBE)

Data for a relaxed structure of SrGa2CuAu4.

Unit cell a=4.4747 b=4.4747 c=28.0461 alpha=90.00 beta=90.00 gamma=120.00
Space group R-3m (No. 166, hexagonal axes)
Inequivalent atoms, fractional coordinates:
Sr 0.0000 0.0000 0.0000 (multiplicity 3)
Ga 0.0000 0.0000 0.2410 (multiplicity 6)
Cu 0.0000 0.0000 0.5000 (multiplicity 3)
Au 0.0000 0.0000 0.1376 (multiplicity 6)
Au 0.0000 0.0000 0.4048 (multiplicity 6)

calculated total energy = -0.12730 hartree per atom
formation energy = -0.346 eV per atom
total magnetic moment = 0.00 μB per formula unit

## Sr2Ga3CuAu4 (GGA-PBE)

Data for a relaxed structure of Sr2Ga3CuAu4.

Unit cell a=4.556 b=4.556 c=10.548 alpha=90.00 beta=90.00 gamma=90.00
Space group P-4m2 (No. 115)
Inequivalent atoms, fractional coordinates:
Sr 0.000 0.500 0.244 (multiplicity 2)
Ga 0.000 0.000 0.000 (multiplicity 1)
Ga 0.000 0.500 0.627 (multiplicity 2)
Cu 0.500 0.500 0.000 (multiplicity 1)
Au 0.000 0.000 0.500 (multiplicity 1)
Au 0.000 0.500 0.872 (multiplicity 2)
Au 0.500 0.500 0.500 (multiplicity 1)

calculated total energy = -0.12840 hartree per atom
formation energy = -0.529 eV per atom
total magnetic moment = 0.00 μB per formula unit

## SrGa4CuAu2 (GGA-PBE)

Data for a relaxed structure of SrGa4CuAu2.

Unit cell a=4.4731 b=4.4731 c=27.8331 alpha=90.00 beta=90.00 gamma=120.00
Space group R-3m (No. 166, hexagonal axes)
Inequivalent atoms, fractional coordinates:
Sr 0.0000 0.0000 0.0000 (multiplicity 3)
Ga 0.0000 0.0000 0.1357 (multiplicity 6)
Ga 0.0000 0.0000 0.4059 (multiplicity 6)
Cu 0.0000 0.0000 0.5000 (multiplicity 3)
Au 0.0000 0.0000 0.2439 (multiplicity 6)

calculated total energy = -0.12295 hartree per atom
formation energy = -0.291 eV per atom
total magnetic moment = 0.00 μB per formula unit

## Sr2Ga4Cu3Au (GGA-PBE)

Data for a relaxed structure of Sr2Ga4Cu3Au.

Unit cell a=4.345 b=4.345 c=10.600 alpha=90.00 beta=90.00 gamma=90.00
Space group P-4m2 (No. 115)
Inequivalent atoms, fractional coordinates:
Sr 0.000 0.500 0.246 (multiplicity 2)
Ga 0.000 0.000 0.000 (multiplicity 1)
Ga 0.000 0.500 0.635 (multiplicity 2)
Ga 0.500 0.500 0.000 (multiplicity 1)
Cu 0.000 0.500 0.873 (multiplicity 2)
Cu 0.500 0.500 0.500 (multiplicity 1)
Au 0.000 0.000 0.500 (multiplicity 1)

calculated total energy = -0.12741 hartree per atom
formation energy = -0.363 eV per atom
total magnetic moment = 0.00 μB per formula unit

## SrGaCuAu6 (GGA-PBE)

Data for a relaxed structure of SrGaCuAu6.

Unit cell a=6.902 b=8.746 c=14.375 alpha=90.00 beta=90.00 gamma=90.00
Space group Imma (No. 74)
Inequivalent atoms, fractional coordinates:
Sr 0.000 0.250 0.097 (multiplicity 4)
Ga 0.000 0.000 0.500 (multiplicity 4)
Cu 0.250 0.250 0.750 (multiplicity 4)
Au 0.000 0.250 0.389 (multiplicity 4)
Au 0.000 0.250 0.879 (multiplicity 4)
Au 0.214 0.017 0.648 (multiplicity 16)

calculated total energy = -0.12059 hartree per atom
formation energy = -0.118 eV per atom
total magnetic moment = 0.00 μB per formula unit

## SrGa2CuAu5 (GGA-PBE)

Data for a relaxed structure of SrGa2CuAu5.

Unit cell a=5.055 b=5.055 c=7.495 alpha=90.00 beta=90.00 gamma=90.00
Space group P4/mmm (No. 123)
Inequivalent atoms, fractional coordinates:
Sr 0.000 0.000 0.000 (multiplicity 1)
Ga 0.500 0.500 0.337 (multiplicity 2)
Cu 0.000 0.000 0.500 (multiplicity 1)
Au 0.000 0.500 0.300 (multiplicity 4)
Au 0.500 0.500 0.000 (multiplicity 1)

calculated total energy = -0.12158 hartree per atom
formation energy = -0.173 eV per atom
total magnetic moment = 0.00 μB per formula unit

## TbGa2CuAu (GGA-PBE)

Data for a relaxed structure of TbGa2CuAu.

Unit cell a=4.246 b=4.246 c=10.417 alpha=90.00 beta=90.00 gamma=90.00
Space group I-4m2 (No. 119)
Inequivalent atoms, fractional coordinates:
Tb 0.000 0.000 0.000 (multiplicity 2)
Ga 0.000 0.000 0.383 (multiplicity 4)
Cu 0.000 0.500 0.750 (multiplicity 2)
Au 0.000 0.500 0.250 (multiplicity 2)

calculated total energy = -0.15108 hartree per atom
formation energy = -0.500 eV per atom
total magnetic moment = 0.00 μB per formula unit